(1)
The following is a DFT calculation (PBE) of a relaxed PmYMgSc crystal.

Cell: 5.436 5.436 5.436 Å, 60.00 60.00 60.00°
Positions (direct):
Pm  0.250  0.250  0.250
Mg  0.500  0.500  0.500
Sc  0.000  0.000  0.000
Y  0.750  0.750  0.750

Output
total DFT energy (no corrections)	-4.770	eV per atom
formation energy	0.01	eV/atom
space group	F-43m, No. 216

***

(2)
The following is a DFT calculation (PBE) of a relaxed Tb8Nd2Sc crystal.

Cell: 6.673 10.038 10.038 Å, 38.75 60.28 60.28°
Positions (direct):
Tb  0.269  0.409  0.409
Tb  0.731  0.591  0.591
Tb  0.829  0.244  0.244
Tb  0.225  0.343  0.823
Tb  0.775  0.657  0.177
Tb  0.225  0.823  0.343
Tb  0.775  0.177  0.657
Tb  0.171  0.756  0.756
Sc  0.000  0.000  0.000
Nd  0.425  0.189  0.189
Nd  0.575  0.811  0.811

Output
total DFT energy (no corrections)	-4.646	eV per atom
formation energy	0.16	eV/atom
space group	C2/m, No. 12